1.
Density functional theory data (PBE) for a relaxed structure of BaHf2Ag.

Unit cell a=4.3562 b=4.3562 c=11.9642 alpha=79.51 beta=79.51 gamma=90.00
Fractional positions:
Hf: 0.1435 0.6250 0.2500
Hf: 0.6065 0.1250 0.2500
Hf: 0.3750 0.3935 0.7500
Hf: 0.8750 0.8565 0.7500
Ba: 0.0000 0.0000 0.0000
Ba: 0.7500 0.2500 0.5000
Ag: 0.2500 0.7500 0.5000
Ag: 0.5000 0.5000 0.0000

## Properties
V	27.4	Å³/atom
formation energy from the elements	0.725	eV per atom
raw total energy	-43.6	eV for the cell shown
space-group type	No. 122
N(E_F)	1.45	states/eV/atom
spin magnetization	0.00	μB per formula unit

---

2.
Density functional theory data (PBE) for a relaxed structure of TmPb2F8.

Unit cell a=3.8893 b=5.4644 c=7.8321 alpha=106.01 beta=104.38 gamma=90.00
Fractional positions:
Pb: 0.1671 0.6658 0.3342
Pb: 0.8329 0.3342 0.6658
F: 0.9800 0.2005 0.9600
F: 0.7725 0.7002 0.5450
F: 0.3601 0.0655 0.7202
F: 0.0200 0.7995 0.0400
F: 0.4067 0.6003 0.8135
F: 0.5933 0.3997 0.1865
F: 0.2275 0.2998 0.4550
F: 0.6399 0.9345 0.2798
Tm: 0.5000 0.0000 0.0000

## Properties
V	14.1	Å³/atom
raw total energy	-58.2	eV for the cell shown
ΔE_f (raw)	-2.84	eV per atom
space-group type	No. 12
N(E_F)	0.58	states/eV/atom
spin magnetization	0.00	μB per formula unit

---

3.
Density functional theory data (PBE) for a relaxed structure of ScAsPtBr2.

Unit cell a=5.0640 b=5.0640 c=5.0349 alpha=90.00 beta=90.00 gamma=90.00
Fractional positions:
Br: 0.5000 0.0000 0.0000
Br: 0.0000 0.5000 0.0000
Sc: 0.5000 0.5000 0.5000
Pt: 0.0000 0.0000 0.0000
As: 0.0000 0.0000 0.5000

## Properties
V	25.8	Å³/atom
raw total energy	-20.0	eV for the cell shown
ΔE_f (raw)	0.08	eV per atom
space-group type	No. 123
N(E_F)	0.56	states/eV/atom
spin magnetization	0.15	μB per formula unit

---

4.
Density functional theory data (PBE) for a relaxed structure of NaMnAgSe3.

Unit cell a=3.7777 b=7.9384 c=9.1534 alpha=104.91 beta=90.00 gamma=90.00
Fractional positions:
Mn: 0.7500 0.3203 0.8565
Mn: 0.2500 0.6797 0.1435
Na: 0.2500 0.2706 0.3056
Na: 0.7500 0.7294 0.6944
Se: 0.7500 0.8725 0.0929
Se: 0.2500 0.5403 0.8634
Se: 0.7500 0.2834 0.5711
Se: 0.2500 0.7166 0.4289
Se: 0.2500 0.1275 0.9071
Se: 0.7500 0.4597 0.1366
Ag: 0.7500 0.9524 0.3828
Ag: 0.2500 0.0476 0.6172

## Properties
V	22.1	Å³/atom
raw total energy	-53.2	eV for the cell shown
ΔE_f (raw)	-0.47	eV per atom
space-group type	No. 11
N(E_F)	0.24	states/eV/atom
spin magnetization	3.04	μB per formula unit

---

5.
Density functional theory data (PBE) for a relaxed structure of Nd5InSb2.

Unit cell a=7.1581 b=7.1579 c=6.8300 alpha=121.57 beta=121.60 gamma=90.00
Fractional positions:
Nd: 0.2221 0.2222 0.9443
Nd: 0.7222 0.2223 0.9443
Nd: 0.2222 0.7221 0.9442
Nd: 0.7222 0.7219 0.4443
Nd: 0.7220 0.7221 0.9442
Sb: 0.7221 0.2223 0.4443
Sb: 0.2221 0.7222 0.4443
In: 0.2221 0.2219 0.4442

## Properties
V	29.4	Å³/atom
raw total energy	-39.5	eV for the cell shown
ΔE_f (raw)	-0.59	eV per atom
space-group type	No. 139
N(E_F)	1.12	states/eV/atom
spin magnetization	0.00	μB per formula unit

---

6.
Density functional theory data (PBE) for a relaxed structure of Nd3SnRu.

Unit cell a=5.4144 b=5.4144 c=5.4144 alpha=90.00 beta=90.00 gamma=90.00
Fractional positions:
Sn: 0.5000 0.5000 0.5000
Ru: 0.0000 0.0000 0.0000
Nd: 0.0000 0.5000 0.0000
Nd: 0.5000 0.0000 0.0000
Nd: 0.0000 0.0000 0.5000

## Properties
V	31.7	Å³/atom
formation energy from the elements	-0.251	eV per atom
raw total energy	-28.8	eV for the cell shown
space-group type	No. 221
N(E_F)	0.70	states/eV/atom
spin magnetization	0.00	μB per formula unit